# 1
A plane-wave DFT calculation with PBE was carried out for an optimized crystal structure of Li2TaI.

a b c (Å): 7.6833 7.6833 5.4466
angles (deg): 90.00 90.00 90.00
With the nearest neighbours (Å) after each atom.
Fractional coordinates of all 16 atoms:
Li (0.2250, 0.7500, 0.1250)  2 I 2.67, 2 Li 2.75, 2 Ta 2.94
Li (0.2500, 0.2250, 0.8750)  2 I 2.67, 2 Li 2.75, 2 Ta 2.94
Li (0.2500, 0.2750, 0.3750)  2 I 2.67, 2 Li 2.75, 2 Ta 2.94
Li (0.2750, 0.7500, 0.6250)  2 I 2.67, 2 Li 2.75, 2 Ta 2.94
Li (0.7250, 0.2500, 0.6250)  2 I 2.67, 2 Li 2.75, 2 Ta 2.94
Li (0.7500, 0.7250, 0.3750)  2 I 2.67, 2 Li 2.75, 2 Ta 2.94
Li (0.7500, 0.7750, 0.8750)  2 I 2.67, 2 Li 2.75, 2 Ta 2.94
Li (0.7750, 0.2500, 0.1250)  2 I 2.67, 2 Li 2.75, 2 Ta 2.94
Ta (0.0000, 0.0000, 0.5000)  2 I 2.72, 4 Li 2.94
Ta (0.0000, 0.5000, 0.7500)  2 I 2.72, 4 Li 2.94
Ta (0.5000, 0.0000, 0.2500)  2 I 2.72, 4 Li 2.94
Ta (0.5000, 0.5000, 0.0000)  2 I 2.72, 4 Li 2.94
I (0.0000, 0.0000, 0.0000)  4 Li 2.67, 2 Ta 2.72
I (0.0000, 0.5000, 0.2500)  4 Li 2.67, 2 Ta 2.72
I (0.5000, 0.0000, 0.7500)  4 Li 2.67, 2 Ta 2.72
I (0.5000, 0.5000, 0.5000)  4 Li 2.67, 2 Ta 2.72

Summary:
As for the space group: I-42d. The value obtained for the uncorrected formation energy is 2.717 eV/f.u. The calculation puts the energy above the most stable polymorph in this dataset at 0.0 meV per atom. The density of states at the Fermi level is 2.61 states/eV/f.u.

***

# 2
A plane-wave DFT calculation with PBE was carried out for an optimized crystal structure of LiTaI2.

a b c (Å): 6.6974 6.6974 10.9785
angles (deg): 90.00 90.00 90.00
With the nearest neighbours (Å) after each atom.
Fractional coordinates of all 16 atoms:
Li (0.0000, 0.0000, 0.0000)  4 I 2.70
Li (0.0000, 0.5000, 0.2500)  4 I 2.70
Li (0.5000, 0.0000, 0.7500)  4 I 2.70
Li (0.5000, 0.5000, 0.5000)  4 I 2.70
Ta (0.0000, 0.0000, 0.5000)  4 I 2.77
Ta (0.0000, 0.5000, 0.7500)  4 I 2.77
Ta (0.5000, 0.0000, 0.2500)  4 I 2.77
Ta (0.5000, 0.5000, 0.0000)  4 I 2.77
I (0.2411, 0.2500, 0.1250)  2 Li 2.70, 2 Ta 2.77
I (0.2500, 0.7411, 0.3750)  2 Li 2.70, 2 Ta 2.77
I (0.2500, 0.7589, 0.8750)  2 Li 2.70, 2 Ta 2.77
I (0.2589, 0.2500, 0.6250)  2 Li 2.70, 2 Ta 2.77
I (0.7411, 0.7500, 0.6250)  2 Li 2.70, 2 Ta 2.77
I (0.7500, 0.2411, 0.8750)  2 Li 2.70, 2 Ta 2.77
I (0.7500, 0.2589, 0.3750)  2 Li 2.70, 2 Ta 2.77
I (0.7589, 0.7500, 0.1250)  2 Li 2.70, 2 Ta 2.77

Summary:
As for the space group: I-42d. The value obtained for the uncorrected formation energy is 1.660 eV/f.u. The calculation puts the energy above the most stable polymorph in this dataset at 98.9 meV per atom. The density of states at the Fermi level is 2.01 states/eV/f.u.

***

# 3
A plane-wave DFT calculation with PBE was carried out for an optimized crystal structure of Li2TaI.

a b c (Å): 6.8366 6.8366 6.8366
angles (deg): 90.00 90.00 90.00
With the nearest neighbours (Å) after each atom.
Fractional coordinates of all 16 atoms:
Li (0.2500, 0.2500, 0.2500)  4 Ta 2.96, 4 I 2.96
Li (0.2500, 0.2500, 0.7500)  4 Ta 2.96, 4 I 2.96
Li (0.2500, 0.7500, 0.2500)  4 Ta 2.96, 4 I 2.96
Li (0.2500, 0.7500, 0.7500)  4 Ta 2.96, 4 I 2.96
Li (0.7500, 0.2500, 0.2500)  4 Ta 2.96, 4 I 2.96
Li (0.7500, 0.2500, 0.7500)  4 Ta 2.96, 4 I 2.96
Li (0.7500, 0.7500, 0.2500)  4 Ta 2.96, 4 I 2.96
Li (0.7500, 0.7500, 0.7500)  4 Ta 2.96, 4 I 2.96
Ta (0.0000, 0.0000, 0.0000)  8 Li 2.96
Ta (0.0000, 0.5000, 0.5000)  8 Li 2.96
Ta (0.5000, 0.0000, 0.5000)  8 Li 2.96
Ta (0.5000, 0.5000, 0.0000)  8 Li 2.96
I (0.0000, 0.0000, 0.5000)  8 Li 2.96
I (0.0000, 0.5000, 0.0000)  8 Li 2.96
I (0.5000, 0.0000, 0.0000)  8 Li 2.96
I (0.5000, 0.5000, 0.5000)  8 Li 2.96

Summary:
As for the space group: Fm-3m. The value obtained for the uncorrected formation energy is 3.709 eV/f.u. The calculation puts the energy above the most stable polymorph in this dataset at 248.1 meV per atom. The density of states at the Fermi level is 4.33 states/eV/f.u.

***

# 4
A plane-wave DFT calculation with PBE was carried out for an optimized crystal structure of LiTaI6.

a b c (Å): 7.7518 7.7518 7.7518
angles (deg): 56.19 56.19 56.19
With the nearest neighbours (Å) after each atom.
Fractional coordinates of all 8 atoms:
Li (0.0000, 0.0000, 0.0000)  6 I 3.02
Ta (0.5000, 0.5000, 0.5000)  6 I 2.77
I (0.1082, 0.4178, 0.7309)  1 Ta 2.77, 1 Li 3.02
I (0.2691, 0.8918, 0.5822)  1 Ta 2.77, 1 Li 3.02
I (0.4178, 0.7309, 0.1082)  1 Ta 2.77, 1 Li 3.02
I (0.5822, 0.2691, 0.8918)  1 Ta 2.77, 1 Li 3.02
I (0.7309, 0.1082, 0.4178)  1 Ta 2.77, 1 Li 3.02
I (0.8918, 0.5822, 0.2691)  1 Ta 2.77, 1 Li 3.02

Summary:
As for the space group: R-3. The value obtained for the uncorrected formation energy is -4.564 eV/f.u. The calculation puts the energy above the most stable polymorph in this dataset at 11.5 meV per atom.

***

# 5
A plane-wave DFT calculation with PBE was carried out for an optimized crystal structure of LiTaI3.

a b c (Å): 5.7674 5.7674 5.7674
angles (deg): 90.00 90.00 90.00
With the nearest neighbours (Å) after each atom.
Fractional coordinates of all 5 atoms:
Li (0.0000, 0.0000, 0.0000)  12 I 4.08
Ta (0.5000, 0.5000, 0.5000)  6 I 2.88
I (0.0000, 0.5000, 0.5000)  2 Ta 2.88
I (0.5000, 0.0000, 0.5000)  2 Ta 2.88
I (0.5000, 0.5000, 0.0000)  2 Ta 2.88

Summary:
As for the space group: Pm-3m. The value obtained for the uncorrected formation energy is 0.415 eV/f.u. The density of states at the Fermi level is 3.70 states/eV/f.u.

***

# 6
A plane-wave DFT calculation with PBE was carried out for an optimized crystal structure of LiTaI2.

a b c (Å): 6.9974 6.9974 6.9974
angles (deg): 90.00 90.00 90.00
With the nearest neighbours (Å) after each atom.
Fractional coordinates of all 16 atoms:
Li (0.0000, 0.0000, 0.0000)  8 I 3.03
Li (0.0000, 0.5000, 0.5000)  8 I 3.03
Li (0.5000, 0.0000, 0.5000)  8 I 3.03
Li (0.5000, 0.5000, 0.0000)  8 I 3.03
Ta (0.0000, 0.0000, 0.5000)  8 I 3.03
Ta (0.0000, 0.5000, 0.0000)  8 I 3.03
Ta (0.5000, 0.0000, 0.0000)  8 I 3.03
Ta (0.5000, 0.5000, 0.5000)  8 I 3.03
I (0.2500, 0.2500, 0.2500)  4 Ta 3.03, 4 Li 3.03
I (0.2500, 0.2500, 0.7500)  4 Ta 3.03, 4 Li 3.03
I (0.2500, 0.7500, 0.2500)  4 Ta 3.03, 4 Li 3.03
I (0.2500, 0.7500, 0.7500)  4 Ta 3.03, 4 Li 3.03
I (0.7500, 0.2500, 0.2500)  4 Ta 3.03, 4 Li 3.03
I (0.7500, 0.2500, 0.7500)  4 Ta 3.03, 4 Li 3.03
I (0.7500, 0.7500, 0.2500)  4 Ta 3.03, 4 Li 3.03
I (0.7500, 0.7500, 0.7500)  4 Li 3.03, 4 Ta 3.03

Summary:
As for the space group: Fm-3m. The value obtained for the uncorrected formation energy is 1.265 eV/f.u. The calculation puts the energy above the most stable polymorph in this dataset at 0.0 meV per atom. The density of states at the Fermi level is 0.00 states/eV/f.u.

***

# 7
A plane-wave DFT calculation with PBE was carried out for an optimized crystal structure of Li2TaI8.

a b c (Å): 7.7537 8.1414 9.0362
angles (deg): 78.89 65.89 62.98
With the nearest neighbours (Å) after each atom.
Fractional coordinates of all 11 atoms:
Li (0.1446, 0.3652, 0.3402)  4 I 2.72-2.81
Li (0.8554, 0.6348, 0.6598)  4 I 2.72-2.81
Ta (0.5000, 0.0000, 0.0000)  6 I 2.76-2.77
I (0.0403, 0.2592, 0.6576)  2 Li 2.72-2.73
I (0.0756, 0.2156, 0.1249)  1 Ta 2.77, 1 Li 2.81
I (0.4334, 0.7665, 0.8645)  1 Ta 2.77, 1 Li 2.81
I (0.4682, 0.7877, 0.2798)  1 Ta 2.76
I (0.5318, 0.2123, 0.7202)  1 Ta 2.76
I (0.5666, 0.2335, 0.1355)  1 Ta 2.77, 1 Li 2.81
I (0.9244, 0.7844, 0.8751)  1 Ta 2.77, 1 Li 2.81
I (0.9597, 0.7408, 0.3424)  2 Li 2.72-2.73

Summary:
As for the space group: P-1. The value obtained for the uncorrected formation energy is -6.421 eV/f.u. The density of states at the Fermi level is 5.96 states/eV/f.u.

***

# 8
A plane-wave DFT calculation with PBE was carried out for an optimized crystal structure of LiTaTe2I.

a b c (Å): 4.9717 4.9717 5.2598
angles (deg): 90.00 90.00 90.00
With the nearest neighbours (Å) after each atom.
Fractional coordinates of all 5 atoms:
Li (0.0000, 0.0000, 0.0000)  4 Te 2.49, 2 I 2.63
Ta (0.5000, 0.5000, 0.5000)  4 I 3.52, 8 Te 3.62
Te (0.0000, 0.5000, 0.0000)  2 Li 2.49
Te (0.5000, 0.0000, 0.0000)  2 Li 2.49
I (0.0000, 0.0000, 0.5000)  2 Li 2.63

Summary:
As for the space group: P4/mmm. The value obtained for the uncorrected formation energy is 3.925 eV/f.u. The calculation puts the energy above the most stable polymorph in this dataset at 819.7 meV per atom. The density of states at the Fermi level is 4.47 states/eV/f.u.

***

# 9
A plane-wave DFT calculation with PBE was carried out for an optimized crystal structure of LiTaTe2I.

a b c (Å): 5.4175 5.4175 5.9369
angles (deg): 90.00 90.00 90.00
With the nearest neighbours (Å) after each atom.
Fractional coordinates of all 5 atoms:
Li (0.0000, 0.0000, 0.0000)  4 I 3.83, 8 Te 4.02
Ta (0.5000, 0.5000, 0.5000)  4 Te 2.71, 2 I 2.97
Te (0.0000, 0.5000, 0.5000)  2 Ta 2.71
Te (0.5000, 0.0000, 0.5000)  2 Ta 2.71
I (0.5000, 0.5000, 0.0000)  2 Ta 2.97

Summary:
As for the space group: P4/mmm. The value obtained for the uncorrected formation energy is -0.173 eV/f.u. The calculation puts the energy above the most stable polymorph in this dataset at 0.0 meV per atom. The density of states at the Fermi level is 3.78 states/eV/f.u.

***

# 10
A plane-wave DFT calculation with PBE was carried out for an optimized crystal structure of LiTaTeI2.

a b c (Å): 5.8325 5.8325 5.3919
angles (deg): 90.00 90.00 90.00
With the nearest neighbours (Å) after each atom.
Fractional coordinates of all 5 atoms:
Li (0.0000, 0.0000, 0.0000)  8 I 3.97, 4 Te 4.12
Ta (0.5000, 0.5000, 0.5000)  2 Te 2.70, 4 I 2.92
Te (0.5000, 0.5000, 0.0000)  2 Ta 2.70
I (0.0000, 0.5000, 0.5000)  2 Ta 2.92
I (0.5000, 0.0000, 0.5000)  2 Ta 2.92

Summary:
As for the space group: P4/mmm. The value obtained for the uncorrected formation energy is 0.021 eV/f.u. The calculation puts the energy above the most stable polymorph in this dataset at 0.0 meV per atom. The density of states at the Fermi level is 4.21 states/eV/f.u.

***

# 11
A plane-wave DFT calculation with PBE was carried out for an optimized crystal structure of LiTaTeI2.

a b c (Å): 5.0989 5.0989 5.3161
angles (deg): 90.00 90.00 90.00
With the nearest neighbours (Å) after each atom.
Fractional coordinates of all 5 atoms:
Li (0.0000, 0.0000, 0.0000)  4 I 2.55, 2 Te 2.66
Ta (0.5000, 0.5000, 0.5000)  4 Te 3.61, 8 I 3.68
Te (0.0000, 0.0000, 0.5000)  2 Li 2.66
I (0.0000, 0.5000, 0.0000)  2 Li 2.55
I (0.5000, 0.0000, 0.0000)  2 Li 2.55

Summary:
As for the space group: P4/mmm. The value obtained for the uncorrected formation energy is 3.709 eV/f.u. The calculation puts the energy above the most stable polymorph in this dataset at 737.6 meV per atom. The density of states at the Fermi level is 4.29 states/eV/f.u.

***

# 12
A plane-wave DFT calculation with PBE was carried out for an optimized crystal structure of LiTaTeI2.

a b c (Å): 6.2832 6.2832 4.8748
angles (deg): 90.00 90.00 90.00
With the nearest neighbours (Å) after each atom.
Fractional coordinates of all 5 atoms:
Li (0.0000, 0.0000, 0.0000)  2 Te 2.44
Ta (0.5000, 0.5000, 0.0000)  8 I 3.98, 4 Li 4.44
Te (0.0000, 0.0000, 0.5000)  2 Li 2.44
I (0.0000, 0.5000, 0.5000)  2 Te 3.14
I (0.5000, 0.0000, 0.5000)  2 Te 3.14

Summary:
As for the space group: P4/mmm. The value obtained for the uncorrected formation energy is 5.364 eV/f.u. The calculation puts the energy above the most stable polymorph in this dataset at 1068.5 meV per atom. The density of states at the Fermi level is 6.09 states/eV/f.u.